# Sr3Ir, optimized geometry, DFT PBE
# **DFT formation energy**: 0.003 eV/atom
data_Sr3Ir
_space_group_name_H-M_alt 'P 1'
_space_group_IT_number 1
_cell_length_a 5.919
_cell_length_b 5.919
_cell_length_c 5.919
_cell_angle_alpha 90.00
_cell_angle_beta 90.00
_cell_angle_gamma 90.00
loop_
_space_group_symop_operation_xyz
'x,y,z'
loop_
_atom_site_label
_atom_site_type_symbol
_atom_site_fract_x
_atom_site_fract_y
_atom_site_fract_z
Sr1 Sr 0.000 0.000 0.500
Sr2 Sr 0.500 0.000 0.000
Ir1 Ir 0.000 0.000 0.000
Sr3 Sr 0.000 0.500 0.000



# La3Mg2UN6, optimized geometry, DFT PBE
# **ΔE_f (raw)**: -1120 meV/atom
data_La3Mg2UN6
_space_group_name_H-M_alt 'P 1'
_space_group_IT_number 1
_cell_length_a 6.096
_cell_length_b 6.096
_cell_length_c 6.107
_cell_angle_alpha 97.67
_cell_angle_beta 97.67
_cell_angle_gamma 121.93
loop_
_space_group_symop_operation_xyz
'x,y,z'
loop_
_atom_site_label
_atom_site_type_symbol
_atom_site_fract_x
_atom_site_fract_y
_atom_site_fract_z
N1 N 0.388 0.085 0.213
Mg1 Mg 0.681 0.319 0.000
La1 La 0.500 0.500 0.500
La2 La 0.826 0.174 0.500
N2 N 0.915 0.612 0.787
Mg2 Mg 0.319 0.681 0.000
N3 N 0.797 0.797 0.247
U1 U 0.000 0.000 0.000
N4 N 0.085 0.388 0.213
La3 La 0.174 0.826 0.500
N5 N 0.612 0.915 0.787
N6 N 0.203 0.203 0.753



# Ca3YTh2P6, optimized geometry, DFT PBE
# **DFT formation energy**: -1.329 eV/atom
data_Ca3YTh2P6
_space_group_name_H-M_alt 'P 1'
_space_group_IT_number 1
_cell_length_a 7.198
_cell_length_b 7.198
_cell_length_c 7.132
_cell_angle_alpha 99.68
_cell_angle_beta 99.68
_cell_angle_gamma 120.02
loop_
_space_group_symop_operation_xyz
'x,y,z'
loop_
_atom_site_label
_atom_site_type_symbol
_atom_site_fract_x
_atom_site_fract_y
_atom_site_fract_z
Ca1 Ca 0.167 0.833 0.500
Y1 Y 0.000 0.000 0.000
P1 P 0.079 0.411 0.239
Ca2 Ca 0.833 0.167 0.500
P2 P 0.589 0.921 0.761
P3 P 0.921 0.589 0.761
P4 P 0.748 0.748 0.239
P5 P 0.252 0.252 0.761
Ca3 Ca 0.500 0.500 0.500
Th1 Th 0.667 0.333 0.000
P6 P 0.411 0.079 0.239
Th2 Th 0.333 0.667 0.000



# TiPIrS2, optimized geometry, DFT PBE
# **Excess energy over the best structure of this formula in the dataset**: 0.0000 eV per atom
# **ΔE_f (raw)**: 493 meV/atom
data_TiPIrS2
_space_group_name_H-M_alt 'P 1'
_space_group_IT_number 1
_cell_length_a 4.735
_cell_length_b 4.735
_cell_length_c 4.423
_cell_angle_alpha 90.00
_cell_angle_beta 90.00
_cell_angle_gamma 90.00
loop_
_space_group_symop_operation_xyz
'x,y,z'
loop_
_atom_site_label
_atom_site_type_symbol
_atom_site_fract_x
_atom_site_fract_y
_atom_site_fract_z
S1 S 0.500 0.000 0.000
P1 P 0.000 0.000 0.500
Ti1 Ti 0.500 0.500 0.500
S2 S 0.000 0.500 0.000
Ir1 Ir 0.000 0.000 0.000



# RbBaTc2, optimized geometry, DFT PBE
# **Excess energy over the best structure of this formula in the dataset**: 0.0000 eV per atom
# **DFT formation energy**: 1.909 eV/atom
data_RbBaTc2
_space_group_name_H-M_alt 'P 1'
_space_group_IT_number 1
_cell_length_a 5.718
_cell_length_b 5.718
_cell_length_c 5.718
_cell_angle_alpha 60.00
_cell_angle_beta 60.00
_cell_angle_gamma 60.00
loop_
_space_group_symop_operation_xyz
'x,y,z'
loop_
_atom_site_label
_atom_site_type_symbol
_atom_site_fract_x
_atom_site_fract_y
_atom_site_fract_z
Ba1 Ba 0.500 0.500 0.500
Rb1 Rb 0.000 0.000 0.000
Tc1 Tc 0.750 0.750 0.750
Tc2 Tc 0.250 0.250 0.250



# MgSi2Os, optimized geometry, DFT PBE
# **ΔE_f (raw)**: -20 meV/atom
data_MgSi2Os
_space_group_name_H-M_alt 'P 1'
_space_group_IT_number 1
_cell_length_a 8.210
_cell_length_b 8.210
_cell_length_c 8.210
_cell_angle_alpha 21.10
_cell_angle_beta 21.10
_cell_angle_gamma 21.10
loop_
_space_group_symop_operation_xyz
'x,y,z'
loop_
_atom_site_label
_atom_site_type_symbol
_atom_site_fract_x
_atom_site_fract_y
_atom_site_fract_z
Si1 Si 0.010 0.010 0.010
Si2 Si 0.490 0.490 0.490
Os1 Os 0.750 0.750 0.750
Mg1 Mg 0.250 0.250 0.250



# TbCdSi2Pt5, optimized geometry, DFT PBE
# **ΔE_f (raw)**: -660 meV/atom
data_TbCdSi2Pt5
_space_group_name_H-M_alt 'P 1'
_space_group_IT_number 1
_cell_length_a 4.035
_cell_length_b 4.035
_cell_length_c 11.112
_cell_angle_alpha 90.00
_cell_angle_beta 90.00
_cell_angle_gamma 90.00
loop_
_space_group_symop_operation_xyz
'x,y,z'
loop_
_atom_site_label
_atom_site_type_symbol
_atom_site_fract_x
_atom_site_fract_y
_atom_site_fract_z
Pt1 Pt 0.500 0.000 0.180
Cd1 Cd 0.000 0.000 0.000
Pt2 Pt 0.500 0.000 0.820
Pt3 Pt 0.000 0.500 0.180
Pt4 Pt 0.000 0.500 0.820
Pt5 Pt 0.500 0.500 0.500
Tb1 Tb 0.000 0.000 0.500
Si1 Si 0.500 0.500 0.289
Si2 Si 0.500 0.500 0.711



# TbCePm6Er2, optimized geometry, DFT PBE
# **DFT formation energy**: 0.148 eV/atom
data_TbCePm6Er2
_space_group_name_H-M_alt 'P 1'
_space_group_IT_number 1
_cell_length_a 9.661
_cell_length_b 8.842
_cell_length_c 8.842
_cell_angle_alpha 116.64
_cell_angle_beta 94.25
_cell_angle_gamma 94.25
loop_
_space_group_symop_operation_xyz
'x,y,z'
loop_
_atom_site_label
_atom_site_type_symbol
_atom_site_fract_x
_atom_site_fract_y
_atom_site_fract_z
Pm1 Pm 0.118 0.701 0.489
Er1 Er 0.049 0.290 0.195
Pm2 Pm 0.686 0.009 0.564
Pm3 Pm 0.882 0.299 0.511
Tb1 Tb 0.750 0.030 0.970
Ce1 Ce 0.250 0.409 0.591
Pm4 Pm 0.057 0.113 0.757
Pm5 Pm 0.186 0.564 0.009
Er2 Er 0.951 0.710 0.805
Er3 Er 0.549 0.195 0.290
Pm6 Pm 0.382 0.511 0.299
Pm7 Pm 0.314 0.991 0.436
Pm8 Pm 0.943 0.887 0.243
Pm9 Pm 0.814 0.436 0.991
Pm10 Pm 0.618 0.489 0.701
Er4 Er 0.451 0.805 0.710
Pm11 Pm 0.443 0.243 0.887
Pm12 Pm 0.557 0.757 0.113
Tb2 Tb 0.250 0.970 0.030
Ce2 Ce 0.750 0.591 0.409